Record 1
VASP calculation (meta-GGA SCAN) on a crystal of Hg2Pb relaxed with PBEsol.

POSCAR file:
```
Hg2Pb
1.0
5.9760 0.0000 0.0000
2.9880 5.1754 0.0000
2.9880 1.7251 4.8794
Pb Hg
2 4
Direct
0.5000 0.5000 0.5000
0.7500 0.7500 0.7500
0.1250 0.1250 0.1250
0.1250 0.6250 0.1250
0.1250 0.1250 0.6250
0.6250 0.1250 0.1250
```

## Properties
D(E_F): 0.515 states/eV/atom
formation energy: 0.111 eV/atom
total moment: 0.00 μB per formula unit
ΔE to the lowest computed polymorph: 68 meV per atom

***

Record 2
VASP calculation (meta-GGA SCAN) on a crystal of Hg5Pb3 relaxed with PBEsol.

POSCAR file:
```
Hg5Pb3
1.0
-1.2560 -3.3800 4.5621
1.2006 -7.4448 -5.1852
7.0680 3.5682 4.5895
Hg Pb
10 6
Direct
0.0000 0.6667 0.3333
0.2500 0.7936 0.0000
0.5000 0.6667 0.3333
0.7500 0.2064 0.0000
0.7500 0.7936 0.7936
0.5000 0.3333 0.6667
0.2500 0.2064 0.2064
0.7500 0.0000 0.2064
0.0000 0.3333 0.6667
0.2500 0.0000 0.7936
0.2500 0.3939 0.0000
0.7500 0.6061 0.0000
0.2500 0.0000 0.3939
0.2500 0.6061 0.6061
0.7500 0.3939 0.3939
0.7500 0.0000 0.6061
```

## Properties
D(E_F): 0.437 states/eV/atom
formation energy: 0.061 eV/atom
total moment: 0.00 μB per formula unit
ΔE to the lowest computed polymorph: 0 meV per atom

***

Record 3
VASP calculation (meta-GGA SCAN) on a crystal of HgPb relaxed with PBEsol.

POSCAR file:
```
HgPb
1.0
3.3548 0.0759 0.0000
-1.3309 3.0804 0.0000
0.0000 0.0000 10.2553
Hg Pb
2 2
Direct
0.7500 0.2500 0.8871
0.2500 0.7500 0.1129
0.2500 0.7500 0.6370
0.7500 0.2500 0.3630
```

## Properties
D(E_F): 0.352 states/eV/atom
formation energy: 0.029 eV/atom
total moment: 0.00 μB per formula unit

***

Record 4
VASP calculation (meta-GGA SCAN) on a crystal of Hg3Pb relaxed with PBEsol.

POSCAR file:
```
Hg3Pb
1.0
5.8502 0.0000 0.0000
0.0000 5.8502 0.0000
0.0000 0.0000 5.8502
Hg Pb
6 2
Direct
0.7500 0.5000 0.0000
0.5000 0.0000 0.2500
0.2500 0.5000 0.0000
0.0000 0.7500 0.5000
0.5000 0.0000 0.7500
0.0000 0.2500 0.5000
0.0000 0.0000 0.0000
0.5000 0.5000 0.5000
```

## Properties
D(E_F): 0.349 states/eV/atom
formation energy: 0.068 eV/atom
total moment: 0.00 μB per formula unit

***

Record 5
VASP calculation (meta-GGA SCAN) on a crystal of HgPb relaxed with PBEsol.

POSCAR file:
```
HgPb
1.0
-1.3634 -3.8894 -4.3336
5.7274 -1.6992 -0.2769
-1.0512 -4.2133 4.1121
Hg Pb
4 4
Direct
0.4044 0.4044 0.4044
0.5956 0.9044 0.0956
0.9044 0.0956 0.5956
0.0956 0.5956 0.9044
0.0986 0.0986 0.0986
0.5986 0.4014 0.9014
0.4014 0.9014 0.5986
0.9014 0.5986 0.4014
```

## Properties
D(E_F): 0.505 states/eV/atom
formation energy: 0.055 eV/atom
total moment: 0.00 μB per formula unit

***

Record 6
VASP calculation (meta-GGA SCAN) on a crystal of Hg3Pb relaxed with PBEsol.

POSCAR file:
```
Hg3Pb
1.0
-2.3730 -3.5695 -1.6504
-0.5051 -1.6349 4.2624
-6.4885 7.4474 -0.3870
Hg Pb
6 2
Direct
0.5000 0.0000 0.0000
0.8729 0.8729 0.7459
0.2500 0.7500 0.5000
0.0000 0.5000 0.0000
0.7500 0.2500 0.5000
0.1271 0.1271 0.2541
0.3763 0.3763 0.7527
0.6237 0.6237 0.2473
```

## Properties
D(E_F): 0.464 states/eV/atom
formation energy: 0.061 eV/atom
total moment: 0.00 μB per formula unit

***

Record 7
VASP calculation (meta-GGA SCAN) on a crystal of HgPb relaxed with PBEsol.

POSCAR file:
```
HgPb
1.0
-4.5272 0.0965 0.4818
0.2206 -3.5907 2.7919
2.6390 4.8434 2.3070
Pb Hg
2 2
Direct
0.7500 0.2500 0.5000
0.5000 0.5000 0.0000
0.2500 0.7500 0.5000
0.0000 0.0000 0.0000
```

## Properties
D(E_F): 0.432 states/eV/atom
formation energy: 0.042 eV/atom
total moment: 0.00 μB per formula unit

***

Record 8
VASP calculation (meta-GGA SCAN) on a crystal of Hg2Pb relaxed with PBEsol.

POSCAR file:
```
Hg2Pb
1.0
-2.3020 -1.5996 2.1169
-1.4660 -1.8722 -5.9233
5.2032 -4.6972 2.1088
Hg Pb
4 2
Direct
0.7028 0.4057 0.3808
0.0165 0.0330 0.0580
0.3625 0.7251 0.2254
0.3599 0.7199 0.7194
0.0317 0.0633 0.5436
0.6932 0.3864 0.9062
```

## Properties
D(E_F): 0.453 states/eV/atom
formation energy: 0.043 eV/atom
total moment: 0.00 μB per formula unit
ΔE to the lowest computed polymorph: 0 meV per atom

***

Record 9
VASP calculation (meta-GGA SCAN) on a crystal of HgPb7 relaxed with PBEsol.

POSCAR file:
```
HgPb7
1.0
6.8863 0.0000 0.0000
3.4431 5.9637 0.0000
3.4431 1.9879 5.6226
Pb Hg
7 1
Direct
0.0000 0.5000 0.5000
0.5000 0.5000 0.0000
0.5000 0.5000 0.5000
0.0000 0.0000 0.5000
0.5000 0.0000 0.5000
0.0000 0.5000 0.0000
0.5000 0.0000 0.0000
0.0000 0.0000 0.0000
```

## Properties
D(E_F): 0.532 states/eV/atom
formation energy: 0.011 eV/atom
total moment: 0.00 μB per formula unit

***

Record 10
VASP calculation (meta-GGA SCAN) on a crystal of HgPb relaxed with PBEsol.

POSCAR file:
```
HgPb
1.0
3.4820 0.0000 0.0000
-1.7410 3.0155 0.0000
0.0000 0.0000 10.1084
Pb Hg
2 2
Direct
0.0000 0.0000 0.0000
0.0000 0.0000 0.5000
0.6667 0.3333 0.7500
0.3333 0.6667 0.2500
```

## Properties
D(E_F): 0.368 states/eV/atom
formation energy: 0.042 eV/atom
total moment: 0.00 μB per formula unit

***

Record 11
VASP calculation (meta-GGA SCAN) on a crystal of Hg3Pb relaxed with PBEsol.

POSCAR file:
```
Hg3Pb
1.0
3.3982 0.0000 0.0000
0.0000 5.5284 0.0000
-1.6991 -2.7642 5.2910
Hg Pb
3 1
Direct
0.2413 0.2413 0.4827
0.5000 0.0000 0.0000
0.7587 0.7587 0.5173
0.0000 0.5000 0.0000
```

## Properties
D(E_F): 0.394 states/eV/atom
formation energy: 0.043 eV/atom
total moment: 0.00 μB per formula unit

***

Record 12
VASP calculation (meta-GGA SCAN) on a crystal of HgPb relaxed with PBEsol.

POSCAR file:
```
HgPb
1.0
3.4466 0.0000 0.0000
-1.7233 2.9849 0.0000
0.0000 0.0000 10.3545
Pb Hg
2 2
Direct
0.3333 0.6667 0.6380
0.6667 0.3333 0.3620
0.3333 0.6667 0.1114
0.6667 0.3333 0.8886
```

## Properties
D(E_F): 0.423 states/eV/atom
formation energy: 0.029 eV/atom
total moment: 0.00 μB per formula unit